A plane-wave DFT calculation with PBE was carried out for a relaxed structure of AcPrHoPu.

Results
Its formation energy is 6.26 kcal/mol of atoms. The total energy is -6.678 eV per atom.

The structure in CIF format:
```
data_AcPrHoPu
_chemical_formula_sum 'Ac4 Pr4 Ho4 Pu4'
_space_group_name_H-M_alt 'F -4 3 m'
_space_group_IT_number 216
_space_group_name_Hall 'F -4 2 3'
_cell_length_a 8.2605
_cell_length_b 8.2605
_cell_length_c 8.2605
_cell_angle_alpha 90.00
_cell_angle_beta 90.00
_cell_angle_gamma 90.00
loop_
_atom_site_label
_atom_site_fract_x
_atom_site_fract_y
_atom_site_fract_z
Ac1 0.0000 0.0000 0.0000
Pr1 0.2500 0.2500 0.2500
Ho1 0.2500 0.2500 0.7500
Pu1 0.0000 0.0000 0.5000
```